Compound: Ba2SrMg
Source: Alexandria
Functional: PBEsol
Structure: optimized geometry

Summary:
energy of formation from the pure elements = 0.01 eV/atom
calculated volume = 47.288 Å³/atom

a = 4.4115 Å, b = 6.4843 Å, c = 13.2249 Å
α = 90.00°, β = 90.00°, γ = 90.00°
Space group Imm2 (No. 44)
Unique sites:
Ba (0.0000, 0.0000, 0.0000) x2
Ba (0.0000, 0.5000, 0.2120) x2
Sr (0.0000, 0.0000, 0.4289) x2
Mg (0.0000, 0.5000, 0.7185) x2



Compound: Ba2SrMg2
Source: Alexandria
Functional: PBEsol
Structure: optimized geometry

Summary:
energy of formation from the pure elements = 0.01 eV/atom
calculated volume = 44.070 Å³/atom

a = 9.7862 Å, b = 9.7862 Å, c = 4.6017 Å
α = 90.00°, β = 90.00°, γ = 90.00°
Space group P4/mbm (No. 127)
Unique sites:
Ba (0.1655, 0.3345, 0.0000) x4
Sr (0.0000, 0.0000, 0.5000) x2
Mg (0.1237, 0.6237, 0.5000) x4